Here is a geometry-optimized TiFeSb2Rh structure from Alexandria. Energies are from PBE.

Space-group type: P4/mmm
Energy relative to the elements, uncorrected, kJ/mol of atoms: 39.4
ρ, g/cm3: 7.558
M_tot, Bohr magnetons per cell: 0.26
E, Ry per atom: -0.440

abc: 4.8022 4.8022 4.2886
angles: 90.00 90.00 90.00
Fractional coordinates of all 5 atoms:
Ti 0.0000 0.0000 0.0000
Fe 0.0000 0.0000 0.5000
Sb 0.0000 0.5000 0.5000
Sb 0.5000 0.0000 0.5000
Rh 0.5000 0.5000 0.0000